LaInW2I | PBEsol | optimized geometry

The energy relative to the elements, uncorrected comes out at 1.832 eV/atom. The value obtained for the density of states at the Fermi level is 6.51 states/eV/cell. Its total energy is -5.710 eV per atom.

abc: 4.912 4.912 5.702
angles: 90.00 90.00 90.00
Fractional coordinates of all 5 atoms:
I 0.000 0.000 0.000
In 0.500 0.500 0.500
W 0.000 0.500 0.000
W 0.500 0.000 0.000
La 0.000 0.000 0.500



LiAlCr | PBEsol | optimized geometry

Its formation energy is 0.68 eV per formula unit. The value obtained for the density of states at the Fermi level is 1.77 states/eV/cell. Its total energy is -5.207 eV per atom.

abc: 2.528 2.528 6.643
angles: 98.66 98.66 102.05
Fractional coordinates of all 3 atoms:
Cr 0.340 0.340 0.680
Al 0.992 0.992 0.984
Li 0.668 0.668 0.336



LiCaAg2 | PBEsol | optimized geometry

Its formation energy is -0.52 eV per formula unit. The value obtained for the density of states at the Fermi level is 1.73 states/eV/cell. Its total energy is -2.810 eV per atom.

abc: 3.567 3.567 6.465
angles: 90.00 90.00 90.00
Fractional coordinates of all 4 atoms:
Ag 0.000 0.000 0.990
Ag 0.500 0.500 0.214
Ca 0.000 0.000 0.479
Li 0.500 0.500 0.817



Cr2Sn2S | PBEsol | optimized geometry

The energy relative to the elements, uncorrected comes out at 0.741 eV/atom. The value obtained for the density of states at the Fermi level is 4.33 states/eV/cell. Its total energy is -5.936 eV per atom.

abc: 3.984 3.984 6.568
angles: 107.65 107.65 90.00
Fractional coordinates of all 5 atoms:
Cr 0.423 0.423 0.846
Cr 0.577 0.577 0.154
S 0.000 0.000 0.000
Sn 0.250 0.750 0.500
Sn 0.750 0.250 0.500



La2AlAu | PBEsol | optimized geometry

Its formation energy is -2.15 eV per formula unit. The value obtained for the density of states at the Fermi level is 2.99 states/eV/cell. Its total energy is -5.214 eV per atom.

abc: 3.747 5.015 6.205
angles: 113.84 107.57 90.00
Fractional coordinates of all 4 atoms:
Au 0.783 0.283 0.566
Al 0.452 0.452 0.905
La 0.027 0.027 0.055
La 0.237 0.737 0.474



NiSbW2 | PBEsol | optimized geometry

The energy relative to the elements, uncorrected comes out at 0.574 eV/atom. The value obtained for the density of states at the Fermi level is 5.26 states/eV/cell. Its total energy is -9.008 eV per atom.

abc: 3.001 3.001 6.856
angles: 90.00 90.00 90.00
Fractional coordinates of all 4 atoms:
Ni 0.500 0.500 0.000
Sb 0.500 0.500 0.500
W 0.000 0.000 0.779
W 0.000 0.000 0.221



SiOsPt | PBEsol | optimized geometry

The energy relative to the elements, uncorrected comes out at -0.295 eV/atom. The value obtained for the density of states at the Fermi level is 1.92 states/eV/cell. Its total energy is -8.604 eV per atom.

abc: 3.984 3.984 3.984
angles: 60.00 60.00 60.00
Fractional coordinates of all 3 atoms:
Os 0.000 0.000 0.000
Pt 0.500 0.500 0.500
Si 0.250 0.250 0.250



Zn2CoTc | PBEsol | optimized geometry

Its formation energy is 0.37 eV per formula unit. The value obtained for the density of states at the Fermi level is 3.76 states/eV/cell. Its total energy is -5.450 eV per atom.

abc: 2.606 4.428 4.628
angles: 98.72 90.00 107.11
Fractional coordinates of all 4 atoms:
Co 0.501 0.001 0.525
Tc 0.243 0.486 0.721
Zn 0.001 0.001 0.017
Zn 0.756 0.511 0.237